(1)
This record from the Alexandria database describes an optimized crystal structure of Rb2TlAgCl6. The functional is GGA-PBEsol.

Summary:
Uncorrected energy = -3.181 eV per atom
Formation energy without anion corrections = -113.6 kJ/mol of atoms
Symmetry = Fm-3m

Structure (POSCAR):
```
Rb2TlAgCl6
1.0
0.000 5.196 5.196
5.196 0.000 5.196
5.196 5.196 0.000
Rb Tl Ag Cl
2 1 1 6
direct
0.250 0.250 0.250
0.750 0.750 0.750
0.000 0.000 0.000
0.500 0.500 0.500
0.252 0.252 0.748
0.252 0.748 0.252
0.252 0.748 0.748
0.748 0.252 0.252
0.748 0.252 0.748
0.748 0.748 0.252
```

(2)
This record from the Alexandria database describes an optimized crystal structure of Re2AgCl. The functional is GGA-PBEsol.

Summary:
Uncorrected energy = -6.851 eV per atom
Formation energy without anion corrections = 110.5 kJ/mol of atoms
Symmetry = F-43m

Structure (POSCAR):
```
Re2AgCl
1.0
0.000 3.140 3.140
3.140 0.000 3.140
3.140 3.140 0.000
Re Ag Cl
2 1 1
direct
0.000 0.000 0.000
0.250 0.250 0.250
0.500 0.500 0.500
0.750 0.750 0.750
```

(3)
This record from the Alexandria database describes an optimized crystal structure of ReAg2Cl6. The functional is GGA-PBEsol.

Summary:
Uncorrected energy = -4.040 eV per atom
Formation energy without anion corrections = -46.7 kJ/mol of atoms
Symmetry = R-3

Structure (POSCAR):
```
ReAg2Cl6
1.0
3.223 1.861 5.608
-3.223 1.861 5.608
0.000 -3.722 5.608
Re Ag Cl
1 2 6
direct
0.000 0.000 0.000
0.224 0.224 0.224
0.776 0.776 0.776
0.123 0.766 0.355
0.234 0.645 0.877
0.355 0.123 0.766
0.645 0.877 0.234
0.766 0.355 0.123
0.877 0.234 0.645
```

(4)
This record from the Alexandria database describes an optimized crystal structure of AgRhCl2. The functional is GGA-PBEsol.

Summary:
Uncorrected energy = -3.583 eV per atom
Formation energy without anion corrections = 27.3 kJ/mol of atoms
Symmetry = Fm-3m
Relative energy among the computed polymorphs = 199 meV/atom

Structure (POSCAR):
```
AgRhCl2
1.0
0.000 3.222 3.222
3.222 0.000 3.222
3.222 3.222 0.000
Ag Rh Cl
1 1 2
direct
0.000 0.000 0.000
0.500 0.500 0.500
0.250 0.250 0.250
0.750 0.750 0.750
```

(5)
This record from the Alexandria database describes an optimized crystal structure of AgRhCl2. The functional is GGA-PBEsol.

Summary:
Uncorrected energy = -3.782 eV per atom
Formation energy without anion corrections = 8.1 kJ/mol of atoms
Symmetry = Cm
Relative energy among the computed polymorphs = 0 meV/atom

Structure (POSCAR):
```
AgRhCl2
1.0
7.322 -1.623 0.000
7.322 1.623 0.000
-0.738 0.000 3.210
Ag Rh Cl
1 1 2
direct
0.000 0.000 0.000
0.345 0.345 0.846
0.588 0.588 0.588
0.800 0.800 0.301
```

(6)
This record from the Alexandria database describes an optimized crystal structure of Ag2RhCl. The functional is GGA-PBEsol.

Summary:
Uncorrected energy = -3.933 eV per atom
Formation energy without anion corrections = 25.0 kJ/mol of atoms
Symmetry = P4/mmm
Relative energy among the computed polymorphs = 0 meV/atom

Structure (POSCAR):
```
Ag2RhCl
1.0
2.954 0.000 0.000
0.000 2.954 0.000
0.000 0.000 7.548
Ag Rh Cl
2 1 1
direct
0.000 0.000 0.243
0.000 0.000 0.757
0.500 0.500 0.000
0.500 0.500 0.500
```

(7)
This record from the Alexandria database describes an optimized crystal structure of AgRhCl2. The functional is GGA-PBEsol.

Summary:
Uncorrected energy = -3.660 eV per atom
Formation energy without anion corrections = 20.0 kJ/mol of atoms
Symmetry = Pmmm
Relative energy among the computed polymorphs = 123 meV/atom

Structure (POSCAR):
```
AgRhCl2
1.0
3.150 0.000 0.000
0.000 3.871 0.000
0.000 0.000 5.807
Ag Rh Cl
1 1 2
direct
0.000 0.000 0.000
0.500 0.000 0.500
0.000 0.500 0.500
0.500 0.500 0.000
```

(8)
This record from the Alexandria database describes an optimized crystal structure of AgRhCl. The functional is GGA-PBEsol.

Summary:
Uncorrected energy = -3.655 eV per atom
Formation energy without anion corrections = 80.2 kJ/mol of atoms
Symmetry = F-43m

Structure (POSCAR):
```
AgRhCl
1.0
0.000 2.999 2.999
2.999 0.000 2.999
2.999 2.999 0.000
Ag Rh Cl
1 1 1
direct
0.000 0.000 0.000
0.500 0.500 0.500
0.750 0.750 0.750
```

(9)
This record from the Alexandria database describes an optimized crystal structure of Ag2RhCl. The functional is GGA-PBEsol.

Summary:
Uncorrected energy = -3.830 eV per atom
Formation energy without anion corrections = 34.9 kJ/mol of atoms
Symmetry = Cmmm
Relative energy among the computed polymorphs = 102 meV/atom

Structure (POSCAR):
```
Ag2RhCl
1.0
2.642 -4.299 0.000
2.642 4.299 0.000
0.000 0.000 2.857
Ag Rh Cl
2 1 1
direct
0.000 0.500 0.000
0.500 0.000 0.000
0.000 0.000 0.500
0.500 0.500 0.500
```

(10)
This record from the Alexandria database describes an optimized crystal structure of Ag2RhCl. The functional is GGA-PBEsol.

Summary:
Uncorrected energy = -3.827 eV per atom
Formation energy without anion corrections = 35.2 kJ/mol of atoms
Symmetry = C2/m
Relative energy among the computed polymorphs = 105 meV/atom

Structure (POSCAR):
```
Ag2RhCl
1.0
5.147 -1.468 0.000
5.147 1.468 0.000
-1.477 0.000 4.279
Ag Rh Cl
2 1 1
direct
0.244 0.244 0.244
0.756 0.756 0.756
0.500 0.500 0.000
0.000 0.000 0.500
```

(11)
This record from the Alexandria database describes an optimized crystal structure of Ag2RhCl. The functional is GGA-PBEsol.

Summary:
Uncorrected energy = -3.822 eV per atom
Formation energy without anion corrections = 35.7 kJ/mol of atoms
Symmetry = Pmmm
Relative energy among the computed polymorphs = 111 meV/atom

Structure (POSCAR):
```
Ag2RhCl
1.0
2.975 0.000 0.000
0.000 4.476 0.000
0.000 0.000 4.828
Ag Rh Cl
2 1 1
direct
0.000 0.000 0.000
0.500 0.500 0.000
0.000 0.500 0.500
0.500 0.000 0.500
```

(12)
This record from the Alexandria database describes an optimized crystal structure of AgRhS2Cl. The functional is GGA-PBEsol.

Summary:
Uncorrected energy = -3.099 eV per atom
Formation energy without anion corrections = 129.9 kJ/mol of atoms
Symmetry = P4/mmm

Structure (POSCAR):
```
AgRhS2Cl
1.0
4.601 0.000 0.000
0.000 4.601 0.000
0.000 0.000 4.568
Ag Rh S Cl
1 1 2 1
direct
0.000 0.000 0.000
0.500 0.500 0.000
0.000 0.500 0.500
0.500 0.000 0.500
0.000 0.000 0.500
```